(1)
Here is a relaxed structure of LaMgSc2 from Alexandria via LeMat-Bulk. Energies are from PBE-GGA.

```
data_LaMgSc2
_symmetry_space_group_name_H-M 'P 4/m m m'
_symmetry_Int_Tables_number 123
_symmetry_space_group_name_Hall '-P 4 2'
_cell_length_a 3.571
_cell_length_b 3.571
_cell_length_c 8.433
_cell_angle_alpha 90.00
_cell_angle_beta 90.00
_cell_angle_gamma 90.00
loop_
_atom_site_label
_atom_site_type_symbol
_atom_site_fract_x
_atom_site_fract_y
_atom_site_fract_z
_atom_site_occupancy
La1 La 0.000 0.000 0.000 1
Mg1 Mg 0.000 0.000 0.500 1
Sc1 Sc 0.500 0.500 0.286 1
```

* DFT formation energy: 0.10 eV/f.u.



(2)
Here is a relaxed structure of CaEr2PuAs4 from Alexandria via LeMat-Bulk. Energies are from PBE-GGA.

```
data_CaEr2PuAs4
_symmetry_space_group_name_H-M 'P 1 2/m 1'
_symmetry_Int_Tables_number 10
_cell_length_a 7.126
_cell_length_b 4.134
_cell_length_c 7.157
_cell_angle_alpha 90.00
_cell_angle_beta 109.14
_cell_angle_gamma 90.00
loop_
_symmetry_equiv_pos_as_xyz
'x,y,z'
'-x,-y,-z'
'-x,y,-z'
'x,-y,z'
loop_
_atom_site_label
_atom_site_type_symbol
_atom_site_fract_x
_atom_site_fract_y
_atom_site_fract_z
_atom_site_occupancy
Ca1 Ca 0.000 0.000 0.000 1
Er1 Er 0.000 0.500 0.500 1
Er2 Er 0.500 0.000 0.500 1
Pu1 Pu 0.500 0.500 0.000 1
As1 As 0.255 0.000 0.747 1
As2 As 0.260 0.500 0.256 1
```

* DFT formation energy: -10.00 eV/f.u.



(3)
Here is a relaxed structure of CsSrMnH6 from Alexandria via LeMat-Bulk. Energies are from PBE-GGA.

```
data_CsSrMnH6
_symmetry_space_group_name_H-M 'P 1 m 1'
_symmetry_Int_Tables_number 6
_cell_length_a 5.097
_cell_length_b 3.696
_cell_length_c 6.744
_cell_angle_alpha 90.00
_cell_angle_beta 104.14
_cell_angle_gamma 90.00
loop_
_symmetry_equiv_pos_as_xyz
'x,y,z'
'x,-y,z'
loop_
_atom_site_label
_atom_site_type_symbol
_atom_site_fract_x
_atom_site_fract_y
_atom_site_fract_z
_atom_site_occupancy
Cs1 Cs 0.000 0.000 0.000 1
Sr1 Sr 0.660 0.000 0.465 1
Mn1 Mn 0.189 0.500 0.538 1
H1 H 0.182 0.000 0.532 1
H2 H 0.281 0.500 0.779 1
H3 H 0.327 0.500 0.334 1
H4 H 0.507 0.500 0.646 1
H5 H 0.916 0.500 0.338 1
H6 H 0.942 0.500 0.648 1
```

* electronic total energy: -3.709 eV/atom